Model w:
Density functional theory data (GGA-PBE) for crystalline Hf2Sc2Zn at its relaxed geometry.

Unit cell a=7.1647 b=7.1647 c=4.3292 alpha=90.00 beta=90.00 gamma=90.00
Element x y z (fractional)
Hf (0.1476, 0.3524, 0.0000)
Hf (0.3524, 0.8524, 0.0000)
Hf (0.6476, 0.1476, 0.0000)
Hf (0.8524, 0.6476, 0.0000)
Sc (0.1482, 0.6482, 0.5000)
Sc (0.3518, 0.1482, 0.5000)
Sc (0.6482, 0.8518, 0.5000)
Sc (0.8518, 0.3518, 0.5000)
Zn (0.0000, 0.0000, 0.5000)
Zn (0.5000, 0.5000, 0.5000)

- SG: No. 127
- Mass density: 7.66 g/cm³

Model x:
Density functional theory data (GGA-PBE) for crystalline Hf2Sc2Zn at its relaxed geometry.

Unit cell a=7.1429 b=7.1429 c=4.4726 alpha=90.00 beta=90.00 gamma=90.00
Element x y z (fractional)
Hf (0.1434, 0.3566, 0.0000)
Hf (0.3566, 0.8566, 0.0000)
Hf (0.6434, 0.1434, 0.0000)
Hf (0.8566, 0.6434, 0.0000)
Sc (0.1534, 0.6534, 0.5000)
Sc (0.3466, 0.1534, 0.5000)
Sc (0.6534, 0.8466, 0.5000)
Sc (0.8466, 0.3466, 0.5000)
Zn (0.0000, 0.0000, 0.0000)
Zn (0.5000, 0.5000, 0.0000)

- SG: No. 127
- Mass density: 7.46 g/cm³

Which structure wins on stability? model x wins.